1.
The following is a GGA-PBE calculation of an optimized crystal structure of Pr2ScCo9, from Alexandria.

Results
The calculation puts the formation energy at -52 meV per atom. The calculation puts the total moment at 10.3 μB per cell. Its crystal system is trigonal. The space group is R-3m.

a = 8.8712 Å, b = 8.8712 Å, c = 8.8712 Å
α = 32.30°, β = 32.30°, γ = 32.30°
Last column: nearest neighbours and their distance in Å.
Atoms (fractional coordinates):
1 Pr 0.1381 0.1381 0.1381  9 Co 2.91-2.94, 3 Pr 3.19
2 Pr 0.8619 0.8619 0.8619  9 Co 2.91-2.94, 3 Pr 3.19
3 Sc 0.0000 0.0000 0.0000  18 Co 2.85-3.14
4 Co 0.0800 0.5754 0.5754  7 Co 2.40-2.67
5 Co 0.3331 0.3331 0.3331  6 Co 2.40-2.41
6 Co 0.4246 0.4246 0.9200  7 Co 2.40-2.67
7 Co 0.4246 0.9200 0.4246  7 Co 2.40-2.67
8 Co 0.5000 0.5000 0.5000  6 Co 2.67, 6 Pr 2.94
9 Co 0.5754 0.0800 0.5754  7 Co 2.40-2.67
10 Co 0.5754 0.5754 0.0800  7 Co 2.40-2.67
11 Co 0.6669 0.6669 0.6669  6 Co 2.40-2.41
12 Co 0.9200 0.4246 0.4246  7 Co 2.40-2.67

---

2.
The following is a GGA-PBE calculation of an optimized crystal structure of CaLaNd2Sm4, from Alexandria.

Results
The calculation puts the formation energy at 369 meV per atom. The calculation puts the total moment at 0.0 μB per cell. Its crystal system is monoclinic. The space group is C2/c.

a = 9.7519 Å, b = 9.7519 Å, c = 6.9700 Å
α = 110.93°, β = 110.93°, γ = 88.55°
Last column: nearest neighbours and their distance in Å.
Atoms (fractional coordinates):
1 Ca 0.0000 0.0000 0.0000  6 Sm 3.41-3.62, 2 Ca 3.48
2 Ca 0.0000 0.0000 0.5000  6 Sm 3.41-3.62, 2 Ca 3.48
3 La 0.0000 0.5000 0.0000  6 Sm 3.41-3.51, 2 Nd 3.48
4 La 0.5000 0.0000 0.5000  6 Sm 3.41-3.51, 2 Nd 3.48
5 Nd 0.0000 0.5000 0.5000  6 Sm 3.40-3.48, 2 La 3.48
6 Nd 0.5000 0.0000 0.0000  6 Sm 3.40-3.48, 2 La 3.48
7 Nd 0.5000 0.5000 0.0000  6 Sm 3.36-3.40, 2 Nd 3.48
8 Nd 0.5000 0.5000 0.5000  6 Sm 3.36-3.40, 2 Nd 3.48
9 Sm 0.2501 0.7495 0.5035  3 Nd 3.40-3.48, 1 Ca 3.41, 2 Sm 3.43-3.54, 2 La 3.50-3.51
10 Sm 0.2505 0.7499 0.9965  3 Nd 3.40-3.48, 1 Ca 3.41, 2 Sm 3.43-3.54, 2 La 3.50-3.51
11 Sm 0.2606 0.2618 0.5148  3 Nd 3.36-3.40, 1 La 3.41, 2 Sm 3.49, 2 Ca 3.60-3.62
12 Sm 0.2618 0.2606 0.0148  3 Nd 3.36-3.40, 1 La 3.41, 2 Sm 3.49, 2 Ca 3.60-3.62
13 Sm 0.7382 0.7394 0.9852  3 Nd 3.36-3.40, 1 La 3.41, 2 Sm 3.49, 2 Ca 3.60-3.62
14 Sm 0.7394 0.7382 0.4852  3 Nd 3.36-3.40, 1 La 3.41, 2 Sm 3.49, 2 Ca 3.60-3.62
15 Sm 0.7495 0.2501 0.0035  3 Nd 3.40-3.48, 1 Ca 3.41, 2 Sm 3.43-3.54, 2 La 3.50-3.51
16 Sm 0.7499 0.2505 0.4965  3 Nd 3.40-3.48, 1 Ca 3.41, 2 Sm 3.43-3.54, 2 La 3.50-3.51

---

no.,uncorrected energy (eV/atom)
1,-6.7054
2,-4.0487